A plane-wave DFT calculation with GGA-PBE was carried out for a relaxed LaPr5Y4 crystal.

Structure (extended XYZ):
```
10
Lattice="3.679 0.000 0.000 0.000 3.679 0.000 0.000 0.000 25.651" Properties=species:S:1:pos:R:3 pbc="T T T"
La 0.000 0.000 0.000
Pr 1.839 1.839 2.654
Pr 1.839 1.839 7.755
Pr 1.839 1.839 12.825
Pr 1.839 1.839 17.896
Pr 1.839 1.839 22.997
Y 0.000 0.000 5.215
Y 0.000 0.000 10.292
Y 0.000 0.000 15.359
Y 0.000 0.000 20.436
```

Computed properties:
Calculated density, g/cm³: 5.74
Symmetry: No. 123
Distance to the lowest polymorph of the same formula, eV per atom: 0.000
Energy of formation, eV/atom: 0.01